(1)
Material: Lu2Sn2O7
Method: DFT, SCAN
State: PBEsol geometry

```
Lu2Sn2O7
1.0
7.244 0.000 0.000
3.622 6.274 0.000
3.622 2.091 5.915
O Lu Sn
14 4 4
direct
0.782 0.218 0.782
0.468 0.032 0.468
0.032 0.468 0.032
0.032 0.032 0.468
0.782 0.218 0.218
0.782 0.782 0.218
0.032 0.468 0.468
0.468 0.032 0.032
0.750 0.750 0.750
0.218 0.782 0.782
0.218 0.218 0.782
0.468 0.468 0.032
0.500 0.500 0.500
0.218 0.782 0.218
0.625 0.625 0.125
0.125 0.625 0.625
0.625 0.625 0.625
0.625 0.125 0.625
0.125 0.125 0.125
0.125 0.125 0.625
0.125 0.625 0.125
0.625 0.125 0.125
```

## Properties
The space group is No. 227.

(2)
Material: SrLu2O4
Method: DFT, SCAN
State: PBEsol geometry

```
SrLu2O4
1.0
-1.636 0.097 2.824
5.149 -1.982 1.164
3.514 10.121 1.688
O Lu Sr
8 4 2
direct
0.763 0.526 0.607
0.500 0.000 0.500
0.948 0.895 0.250
0.500 0.000 0.000
0.052 0.105 0.750
0.763 0.526 0.893
0.237 0.474 0.107
0.237 0.474 0.393
0.133 0.267 0.928
0.867 0.733 0.428
0.867 0.733 0.072
0.133 0.267 0.572
0.387 0.775 0.750
0.613 0.225 0.250
```

## Properties
The space group is No. 63.

Short version: magnetization = 0.00; 0.00 μB per formula unit, in the order given.
Short version: E = -23.39; -26.31 eV per atom, in the order given.